A relaxed structure of BaPdW. Source: the Open Quantum Materials Database, functional PBE.

a b c (Å): 4.9650 4.9650 4.9650
angles (deg): 60.00 60.00 60.00
Sites, in units of the cell vectors:
Ba 0.0000 0.0000 0.0000
Pd 0.2500 0.2500 0.2500
W 0.5000 0.5000 0.5000

Properties
Space group: No. 216
Distance to the lowest polymorph of the same formula: 0.00 eV per formula unit
VASP energy: -5.382 eV/atom
Crystal system: cubic

A relaxed structure of BaY2Pd2. Source: the Open Quantum Materials Database, functional PBE.

a b c (Å): 7.0972 7.0972 7.0972
angles (deg): 140.41 140.41 57.22
Sites, in units of the cell vectors:
Ba 0.0000 0.0000 0.0000
Y 0.2500 0.7500 0.5000
Y 0.7500 0.2500 0.5000
Pd 0.3836 0.3836 0.0000
Pd 0.6164 0.6164 0.0000

Properties
Space group: No. 139
VASP energy: -5.606 eV/atom
Crystal system: tetragonal

A relaxed structure of Ba2ZnPd. Source: the Open Quantum Materials Database, functional PBE.

a b c (Å): 5.4029 5.4029 5.4029
angles (deg): 60.00 60.00 60.00
Sites, in units of the cell vectors:
Ba 0.0000 0.0000 0.0000
Ba 0.2500 0.2500 0.2500
Zn 0.7500 0.7500 0.7500
Pd 0.5000 0.5000 0.5000

Properties
Space group: No. 216
VASP energy: -2.672 eV/atom
Crystal system: cubic

A relaxed structure of BaZnPd. Source: the Open Quantum Materials Database, functional PBE.

a b c (Å): 3.6548 3.6548 11.9951
angles (deg): 90.00 90.00 90.00
Sites, in units of the cell vectors:
Ba 0.2500 0.2500 0.1668
Ba 0.7500 0.7500 0.8332
Zn 0.2500 0.2500 0.6375
Zn 0.7500 0.7500 0.3625
Pd 0.2500 0.2500 0.4250
Pd 0.7500 0.7500 0.5750

Properties
Space group: No. 129
VASP energy: -2.992 eV/atom
Crystal system: tetragonal

A relaxed structure of Ba2ZnPd. Source: the Open Quantum Materials Database, functional PBE.

a b c (Å): 4.5915 4.5915 8.7686
angles (deg): 105.23 105.23 59.99
Sites, in units of the cell vectors:
Ba 0.0000 0.0000 0.0000
Ba 0.1709 0.1709 0.5110
Zn 0.4185 0.4185 0.2550
Pd 0.7525 0.7525 0.2570

Properties
Space group: No. 8
VASP energy: -3.017 eV/atom
Crystal system: monoclinic

A relaxed structure of BaZnPd. Source: the Open Quantum Materials Database, functional PBE.

a b c (Å): 6.1793 6.1793 6.1793
angles (deg): 145.70 145.70 49.30
Sites, in units of the cell vectors:
Ba 0.0000 0.0000 0.0000
Zn 0.7161 0.7161 0.0000
Pd 0.2858 0.2858 0.0000

Properties
Space group: No. 107
VASP energy: -3.127 eV/atom
Crystal system: tetragonal

A relaxed structure of Ba3Zn2Pd. Source: the Open Quantum Materials Database, functional PBE.

a b c (Å): 3.8734 3.8734 13.1826
angles (deg): 90.00 90.00 90.00
Sites, in units of the cell vectors:
Ba 0.0000 0.0000 0.0000
Ba 0.0000 0.0000 0.3182
Ba 0.5000 0.5000 0.5991
Zn 0.0000 0.0000 0.7618
Zn 0.5000 0.5000 0.1681
Pd 0.5000 0.5000 0.8257

Properties
Space group: No. 99
VASP energy: -2.423 eV/atom
Crystal system: tetragonal

A relaxed structure of BaZn3Pd2. Source: the Open Quantum Materials Database, functional PBE.

a b c (Å): 6.6835 6.6835 5.6835
angles (deg): 90.00 90.00 75.99
Sites, in units of the cell vectors:
Ba 0.1683 0.8317 0.7500
Ba 0.8317 0.1683 0.2500
Zn 0.0337 0.5829 0.2500
Zn 0.4171 0.9663 0.2500
Zn 0.4268 0.5732 0.2500
Zn 0.5732 0.4268 0.7500
Zn 0.5829 0.0337 0.7500
Zn 0.9663 0.4171 0.7500
Pd 0.2976 0.2976 0.0000
Pd 0.2976 0.2976 0.5000
Pd 0.7024 0.7024 0.0000
Pd 0.7024 0.7024 0.5000

Properties
Space group: No. 63
VASP energy: -3.185 eV/atom
Crystal system: orthorhombic

Question: Look up the VASP energy of the sixth one.
Answer: -3.127 eV/atom

Question: Among the records above, which one has the lowest VASP energy?
Answer: BaY2Pd2

Repeat the second record exactly.
A relaxed structure of BaY2Pd2. Source: the Open Quantum Materials Database, functional PBE.

a b c (Å): 7.0972 7.0972 7.0972
angles (deg): 140.41 140.41 57.22
Sites, in units of the cell vectors:
Ba 0.0000 0.0000 0.0000
Y 0.2500 0.7500 0.5000
Y 0.7500 0.2500 0.5000
Pd 0.3836 0.3836 0.0000
Pd 0.6164 0.6164 0.0000

Properties
Space group: No. 139
VASP energy: -5.606 eV/atom
Crystal system: tetragonal